VASP calculation (PBE) on an optimized crystal structure of Pa2SnW.

```
data_Pa2SnW
_cell_length_a 3.253
_cell_length_b 3.253
_cell_length_c 8.855
_cell_angle_alpha 90.00
_cell_angle_beta 90.00
_cell_angle_gamma 90.00
_space_group_name_H-M_alt 'P 4/m m m'
_space_group_IT_number 123
_space_group_name_Hall '-P 4 2'
loop_
_atom_site_label
_atom_site_fract_x
_atom_site_fract_y
_atom_site_fract_z
_atom_site_occupancy
Pa1 0.000 0.000 0.215 1
Sn1 0.500 0.500 0.500 1
W1 0.500 0.500 0.000 1
```


VASP calculation (PBE) on an optimized crystal structure of Pa2SnW.

```
data_Pa2SnW
_cell_length_a 7.222
_cell_length_b 7.222
_cell_length_c 7.222
_cell_angle_alpha 90.00
_cell_angle_beta 90.00
_cell_angle_gamma 90.00
_space_group_name_H-M_alt 'F m -3 m'
_space_group_IT_number 225
_space_group_name_Hall '-F 4 2 3'
loop_
_atom_site_label
_atom_site_fract_x
_atom_site_fract_y
_atom_site_fract_z
_atom_site_occupancy
Pa1 0.250 0.250 0.250 1
Sn1 0.000 0.000 0.000 1
W1 0.000 0.000 0.500 1
```


VASP calculation (PBE) on an optimized crystal structure of Pa2SnW.

```
data_Pa2SnW
_cell_length_a 4.466
_cell_length_b 4.466
_cell_length_c 4.457
_cell_angle_alpha 90.00
_cell_angle_beta 90.00
_cell_angle_gamma 90.00
_space_group_name_H-M_alt 'P 4/m m m'
_space_group_IT_number 123
_space_group_name_Hall '-P 4 2'
loop_
_atom_site_label
_atom_site_fract_x
_atom_site_fract_y
_atom_site_fract_z
_atom_site_occupancy
Pa1 0.000 0.500 0.000 1
Sn1 0.000 0.000 0.500 1
W1 0.500 0.500 0.500 1
```


VASP calculation (PBE) on an optimized crystal structure of YPaSn2.

```
data_YPaSn2
_cell_length_a 4.906
_cell_length_b 4.906
_cell_length_c 4.356
_cell_angle_alpha 90.00
_cell_angle_beta 90.00
_cell_angle_gamma 90.00
_space_group_name_H-M_alt 'P 4/m m m'
_space_group_IT_number 123
_space_group_name_Hall '-P 4 2'
loop_
_atom_site_label
_atom_site_fract_x
_atom_site_fract_y
_atom_site_fract_z
_atom_site_occupancy
Y1 0.000 0.000 0.000 1
Pa1 0.500 0.500 0.000 1
Sn1 0.000 0.500 0.500 1
```


no.,E_form (eV per formula unit),energy relative to the lowest polymorph listed for this composition (meV per atom),total energy (Ry per atom)
1,0.00,0,-0.6605
2,1.20,301,-0.6384
3,0.24,60,-0.6562
4,-1.47,27,-0.4673